! ThAlZn2Au4 PBE-GGA relaxed; values from VASP
&SYSTEM
  ibrav = 0, nat = 8, ntyp = 4
/
ATOMIC_SPECIES
Au 196.97 Au.upf
Zn 65.41 Zn.upf
Al 26.98 Al.upf
Th 232.04 Th.upf
ATOMIC_POSITIONS crystal
Au 0.1334 0.1334 0.5998
Au 0.3966 0.3966 0.8103
Au 0.6034 0.6034 0.1897
Au 0.8666 0.8666 0.4002
Zn 0.2439 0.2439 0.2682
Zn 0.7561 0.7561 0.7318
Al 0.5000 0.5000 0.5000
Th 0.0000 0.0000 0.0000
CELL_PARAMETERS angstrom
-3.3336 1.4343 2.5905
-4.2288 -0.8258 -1.1473
-2.2647 -7.4630 5.0550
! Uncorrected energy ... -3.80 eV per atom
! Volume ... 153.8 Å³/cell
! Energy of formation from the pure elements ... -0.45 eV/atom
! Magnetization ... 0.00 μB per cell